(1)
Material: InBiMo2P
Method: DFT, PBE
State: optimized geometry

The space group is P4/mmm (No. 123) and the conventional cell measures 5.385, 5.385 and 5.719 Å, with angles of 90.00, 90.00 and 90.00 degrees. The distinct sites, in fractional coordinates, are In at (0.000, 0.000, 0.000), Bi at (0.000, 0.000, 0.500), Mo at (0.000, 0.500, 0.500) and P at (0.500, 0.500, 0.000).

Its calculated density is 5.5 Mg/m³. For the final energy, the calculation gives -4.561 eV per atom.



(2)
Material: KTl2Sb
Method: DFT, PBE
State: optimized geometry

The space group is Imm2 (No. 44) and the conventional cell measures 4.751, 5.596 and 10.127 Å, with angles of 90.00, 90.00 and 90.00 degrees. The distinct sites, in fractional coordinates, are K at (0.000, 0.000, 0.000), Tl at (0.000, 0.000, 0.466), Tl at (0.000, 0.500, 0.221) and Sb at (0.000, 0.500, 0.761).

Its calculated density is 7.0 Mg/m³. For the uncorrected formation energy, the calculation gives -0.5 eV per formula unit. For the final energy, the calculation gives -2.615 eV per atom.



(3)
Material: Zr2Sc2Zn
Method: DFT, PBE
State: optimized geometry

The space group is I4/mmm (No. 139) and the conventional cell measures 3.202, 3.202 and 21.030 Å, with angles of 90.00, 90.00 and 90.00 degrees. The distinct sites, in fractional coordinates, are Zr at (0.000, 0.000, 0.196), Sc at (0.000, 0.000, 0.412) and Zn at (0.000, 0.000, 0.000).

The value obtained for the energy above the most stable polymorph in this dataset is 0 meV per atom. Its calculated density is 5.2 Mg/m³. For the final energy, the calculation gives -6.352 eV per atom.



(4)
Material: LaSm15Tm4
Method: DFT, PBE
State: optimized geometry

The space group is P4/mmm (No. 123) and the conventional cell measures 5.102, 5.102 and 25.497 Å, with angles of 90.00, 90.00 and 90.00 degrees. The distinct sites, in fractional coordinates, are La at (0.000, 0.000, 0.000), Sm at (0.000, 0.500, 0.103), Sm at (0.000, 0.500, 0.301), Sm at (0.000, 0.500, 0.500), Sm at (0.500, 0.500, 0.000), Sm at (0.500, 0.500, 0.203), Sm at (0.500, 0.500, 0.401), Tm at (0.000, 0.000, 0.202) and Tm at (0.000, 0.000, 0.401).

Its calculated density is 7.7 Mg/m³. For the final energy, the calculation gives -4.662 eV per atom.